Density functional theory data (GGA-PBE) for crystalline TaAlCu at its relaxed geometry.

a = 4.3081 Å, b = 4.3081 Å, c = 4.3081 Å
α = 60.00°, β = 60.00°, γ = 60.00°
Positions (direct):
Cu 0.5000 0.5000 0.5000
Al 0.0000 0.0000 0.0000
Ta 0.7500 0.7500 0.7500

Values from the calculation:
V: 18.85 Å³/atom
energy of formation from the pure elements: 0.724 eV per atom
DOS(E_F): 0.74 states/eV per atom
size of the total moment: 0.000 μB/f.u.